1.
A plane-wave DFT calculation with PBE was carried out for La3TeCl after structural relaxation.

## Properties
Formation energy from raw total energies, eV/atom: -0.845
Total magnetic moment, μB/f.u.: 0.000
ΔE to the lowest computed polymorph, meV/atom: 0

Unit cell a=5.403 b=5.403 c=5.403 alpha=90.00 beta=90.00 gamma=90.00
Sites, in units of the cell vectors:
La 0.000 0.000 0.500
La 0.000 0.500 0.000
La 0.500 0.000 0.000
Te 0.500 0.500 0.500
Cl 0.000 0.000 0.000

=====

2.
A plane-wave DFT calculation with PBE was carried out for Ba8InRhAu2 after structural relaxation.

## Properties
Total magnetic moment, μB/f.u.: 0.000
Formation energy, eV per atom: -0.349

Unit cell a=7.670 b=10.000 c=7.831 alpha=90.00 beta=91.16 gamma=90.00
Sites, in units of the cell vectors:
Ba 0.219 0.000 0.338
Ba 0.238 0.500 0.312
Ba 0.281 0.279 0.828
Ba 0.281 0.721 0.828
Ba 0.719 0.279 0.172
Ba 0.719 0.721 0.172
Ba 0.762 0.500 0.688
Ba 0.781 0.000 0.662
In 0.500 0.000 0.000
Rh 0.500 0.500 0.000
Au 0.000 0.255 0.500
Au 0.000 0.745 0.500

=====

3.
A plane-wave DFT calculation with PBE was carried out for Co6Ni3Rh2 after structural relaxation.

## Properties
Total magnetic moment, μB/f.u.: 13.945
Formation energy, eV per atom: 0.169

Unit cell a=13.293 b=13.293 c=13.293 alpha=169.09 beta=162.68 gamma=20.52
Sites, in units of the cell vectors:
Co 0.049 0.049 0.000
Co 0.230 0.730 0.500
Co 0.419 0.419 0.000
Co 0.581 0.581 0.000
Co 0.770 0.270 0.500
Co 0.951 0.951 0.000
Ni 0.323 0.823 0.500
Ni 0.500 0.000 0.500
Ni 0.677 0.177 0.500
Rh 0.136 0.636 0.500
Rh 0.864 0.364 0.500